(1)
VBO2F (PBE with a Hubbard U, optimized geometry); final energy = -0.2265 hartree per atom; density of states at the Fermi level = 1.47 states/eV/cell
1.0
3.3062 0.0000 0.0000
0.0000 3.3062 0.0000
0.0000 0.0000 3.7848
V B O F
1 1 2 1
direct
0.0000 0.0000 0.0000 V
0.5000 0.5000 0.5000 B
0.0000 0.5000 0.5000 O
0.5000 0.0000 0.5000 O
0.5000 0.5000 0.0000 F

(2)
VBO2F (PBE with a Hubbard U, optimized geometry); final energy = -0.2148 hartree per atom; density of states at the Fermi level = 0.32 states/eV/cell
1.0
3.7777 0.0000 0.0000
0.0000 3.7777 0.0000
0.0000 0.0000 4.0099
V B O F
1 1 2 1
direct
0.0000 0.0000 0.0000 V
0.5000 0.5000 0.5000 B
0.0000 0.5000 0.0000 O
0.5000 0.0000 0.0000 O
0.0000 0.0000 0.5000 F

(3)
BWO2F (PBE with a Hubbard U, optimized geometry); final energy = -0.2110 hartree per atom; density of states at the Fermi level = 0.99 states/eV/cell
1.0
4.0263 0.0000 0.0000
0.0000 4.0263 0.0000
0.0000 0.0000 4.1818
B W O F
1 1 2 1
direct
0.0000 0.0000 0.0000 B
0.5000 0.5000 0.5000 W
0.0000 0.5000 0.5000 O
0.5000 0.0000 0.5000 O
0.5000 0.5000 0.0000 F

(4)
BWO2F (PBE with a Hubbard U, optimized geometry); final energy = -0.2045 hartree per atom; density of states at the Fermi level = 1.01 states/eV/cell
1.0
3.2922 0.0000 0.0000
0.0000 3.2922 0.0000
0.0000 0.0000 4.5879
B W O F
1 1 2 1
direct
0.0000 0.0000 0.0000 B
0.5000 0.5000 0.5000 W
0.0000 0.5000 0.0000 O
0.5000 0.0000 0.0000 O
0.0000 0.0000 0.5000 F